A geometry-optimized GeAsIr2Cl structure, computed with GGA-PBE.

a = 4.5627 Å, b = 5.2507 Å, c = 4.5627 Å
α = 90.00°, β = 90.00°, γ = 90.00°
Positions (direct):
1 Cl 0.0000 0.5000 0.0000
2 Ge 0.5000 0.5000 0.5000
3 Ir 0.0000 0.0000 0.5000
4 Ir 0.5000 0.0000 0.0000
5 As 0.0000 0.0000 0.0000

Values from the calculation:
As for the final energy: -4.891 eV per atom. The value obtained for the density of states at the Fermi level is 0.5 states/eV/cell. Its space group is P4/mmm, No. 123. Its crystal system is tetragonal. For the uncorrected formation energy, the calculation gives 84.51 kJ/mol of atoms.